Entry 1:
# KLi2Se (PBE-GGA, relaxed)
# ρ (g cm⁻³): 2.13
# DOS at the Fermi energy (states/eV/atom): 0.2733
# Formation energy (no corrections) (eV per formula unit): -1.648
# Magnetization (μB/cell): 0.0
# Raw total energy (eV per atom): -2.514
data_KLi2Se
_space_group_name_H-M_alt 'F -4 3 m'
_space_group_IT_number 216
_space_group_name_Hall 'F -4 2 3'
_cell_length_a 7.439
_cell_length_b 7.439
_cell_length_c 7.439
_cell_angle_alpha 90.00
_cell_angle_beta 90.00
_cell_angle_gamma 90.00
loop_
_atom_site_label
_atom_site_type_symbol
_atom_site_fract_x
_atom_site_fract_y
_atom_site_fract_z
K1 K 0.000 0.000 0.000
Li1 Li 0.000 0.000 0.500
Li2 Li 0.250 0.250 0.750
Se1 Se 0.250 0.250 0.250

Entry 2:
# KLi2Se (PBE-GGA, relaxed)
# ρ (g cm⁻³): 1.75
# DOS at the Fermi energy (states/eV/atom): 0.3103
# Formation energy (no corrections) (eV per formula unit): -2.692
# Magnetization (μB/cell): 0.0
# Raw total energy (eV per atom): -2.775
data_KLi2Se
_space_group_name_H-M_alt 'I m m m'
_space_group_IT_number 71
_space_group_name_Hall '-I 2 2'
_cell_length_a 3.812
_cell_length_b 5.841
_cell_length_c 11.215
_cell_angle_alpha 90.00
_cell_angle_beta 90.00
_cell_angle_gamma 90.00
loop_
_atom_site_label
_atom_site_type_symbol
_atom_site_fract_x
_atom_site_fract_y
_atom_site_fract_z
K1 K 0.000 0.000 0.000
Li1 Li 0.000 0.500 0.146
Se1 Se 0.000 0.000 0.500

Entry 3:
# KLi2Se (PBE-GGA, relaxed)
# ρ (g cm⁻³): 1.90
# DOS at the Fermi energy (states/eV/atom): 0.4627
# Formation energy (no corrections) (eV per formula unit): -2.572
# Magnetization (μB/cell): 0.0
# Raw total energy (eV per atom): -2.745
data_KLi2Se
_space_group_name_H-M_alt 'C m m 2'
_space_group_IT_number 35
_cell_length_a 5.373
_cell_length_b 5.392
_cell_length_c 7.949
_cell_angle_alpha 90.00
_cell_angle_beta 90.00
_cell_angle_gamma 90.00
loop_
_space_group_symop_operation_xyz
'x,y,z'
'-x,-y,z'
'-x,y,z'
'x,-y,z'
'x+1/2,y+1/2,z'
'-x+1/2,-y+1/2,z'
'-x+1/2,y+1/2,z'
'x+1/2,-y+1/2,z'
loop_
_atom_site_label
_atom_site_type_symbol
_atom_site_fract_x
_atom_site_fract_y
_atom_site_fract_z
K1 K 0.000 0.000 0.000
Li1 Li 0.000 0.000 0.358
Li2 Li 0.000 0.500 0.579
Se1 Se 0.000 0.500 0.277

Entry 4:
# KLi2Se (PBE-GGA, relaxed)
# ρ (g cm⁻³): 1.88
# DOS at the Fermi energy (states/eV/atom): 0.2908
# Formation energy (no corrections) (eV per formula unit): -2.121
# Magnetization (μB/cell): 0.0
# Raw total energy (eV per atom): -2.633
data_KLi2Se
_space_group_name_H-M_alt 'C m m m'
_space_group_IT_number 65
_space_group_name_Hall '-C 2 2'
_cell_length_a 4.544
_cell_length_b 6.524
_cell_length_c 7.875
_cell_angle_alpha 90.00
_cell_angle_beta 90.00
_cell_angle_gamma 90.00
loop_
_atom_site_label
_atom_site_type_symbol
_atom_site_fract_x
_atom_site_fract_y
_atom_site_fract_z
K1 K 0.000 0.000 0.000
Li1 Li 0.000 0.500 0.351
Se1 Se 0.000 0.000 0.500

Entry 5:
# KLi2Se (PBE-GGA, relaxed)
# ρ (g cm⁻³): 1.76
# DOS at the Fermi energy (states/eV/atom): 0.2439
# Formation energy (no corrections) (eV per formula unit): -3.078
# Magnetization (μB/cell): 0.0
# Raw total energy (eV per atom): -2.872
data_KLi2Se
_space_group_name_H-M_alt 'C 1 2/m 1'
_space_group_IT_number 12
_cell_length_a 7.341
_cell_length_b 4.231
_cell_length_c 8.381
_cell_angle_alpha 90.00
_cell_angle_beta 106.62
_cell_angle_gamma 90.00
loop_
_space_group_symop_operation_xyz
'x,y,z'
'-x,-y,-z'
'-x,y,-z'
'x,-y,z'
'x+1/2,y+1/2,z'
'-x+1/2,-y+1/2,-z'
'-x+1/2,y+1/2,-z'
'x+1/2,-y+1/2,z'
loop_
_atom_site_label
_atom_site_type_symbol
_atom_site_fract_x
_atom_site_fract_y
_atom_site_fract_z
K1 K 0.000 0.000 0.000
Li1 Li 0.198 0.000 0.596
Se1 Se 0.000 0.500 0.500

Entry 6:
# K2LiSe2 (PBE-GGA, relaxed)
# ρ (g cm⁻³): 2.80
# DOS at the Fermi energy (states/eV/atom): 0.0077
# Formation energy (no corrections) (eV per formula unit): -4.183
# Relative energy among the computed polymorphs (eV per atom): 0.000
# Magnetization (μB/cell): 2.0
# Raw total energy (eV per atom): -3.052
data_K2LiSe2
_space_group_name_H-M_alt 'P 4/m b m'
_space_group_IT_number 127
_space_group_name_Hall '-P 4 2ab'
_cell_length_a 7.651
_cell_length_b 7.651
_cell_length_c 4.920
_cell_angle_alpha 90.00
_cell_angle_beta 90.00
_cell_angle_gamma 90.00
loop_
_atom_site_label
_atom_site_type_symbol
_atom_site_fract_x
_atom_site_fract_y
_atom_site_fract_z
K1 K 0.151 0.349 0.000
Li1 Li 0.000 0.000 0.500
Se1 Se 0.154 0.654 0.500

Entry 7:
# KLi4Se (PBE-GGA, relaxed)
# ρ (g cm⁻³): 1.74
# DOS at the Fermi energy (states/eV/atom): 0.0321
# Formation energy (no corrections) (eV per formula unit): -1.225
# Magnetization (μB/cell): 4.0
# Raw total energy (eV per atom): -2.244
data_KLi4Se
_space_group_name_H-M_alt 'F -4 3 m'
_space_group_IT_number 216
_space_group_name_Hall 'F -4 2 3'
_cell_length_a 8.223
_cell_length_b 8.223
_cell_length_c 8.223
_cell_angle_alpha 90.00
_cell_angle_beta 90.00
_cell_angle_gamma 90.00
loop_
_atom_site_label
_atom_site_type_symbol
_atom_site_fract_x
_atom_site_fract_y
_atom_site_fract_z
K1 K 0.000 0.000 0.000
Li1 Li 0.124 0.124 0.624
Se1 Se 0.250 0.250 0.250

Entry 8:
# KLi3Se (PBE-GGA, relaxed)
# ρ (g cm⁻³): 1.67
# DOS at the Fermi energy (states/eV/atom): 0.0050
# Formation energy (no corrections) (eV per formula unit): -2.548
# Relative energy among the computed polymorphs (eV per atom): 0.000
# Magnetization (μB/cell): 0.0
# Raw total energy (eV per atom): -2.574
data_KLi3Se
_space_group_name_H-M_alt 'P m -3 m'
_space_group_IT_number 221
_space_group_name_Hall '-P 4 2 3'
_cell_length_a 5.168
_cell_length_b 5.168
_cell_length_c 5.168
_cell_angle_alpha 90.00
_cell_angle_beta 90.00
_cell_angle_gamma 90.00
loop_
_atom_site_label
_atom_site_type_symbol
_atom_site_fract_x
_atom_site_fract_y
_atom_site_fract_z
K1 K 0.000 0.000 0.000
Li1 Li 0.000 0.500 0.500
Se1 Se 0.500 0.500 0.500

Entry 9:
# KLi2Se (PBE-GGA, relaxed)
# ρ (g cm⁻³): 1.78
# DOS at the Fermi energy (states/eV/atom): 0.4429
# Formation energy (no corrections) (eV per formula unit): -3.047
# Magnetization (μB/cell): 0.8
# Raw total energy (eV per atom): -2.864
data_KLi2Se
_space_group_name_H-M_alt 'P 1 m 1'
_space_group_IT_number 6
_cell_length_a 4.244
_cell_length_b 4.323
_cell_length_c 7.002
_cell_angle_alpha 90.00
_cell_angle_beta 107.07
_cell_angle_gamma 90.00
loop_
_space_group_symop_operation_xyz
'x,y,z'
'x,-y,z'
loop_
_atom_site_label
_atom_site_type_symbol
_atom_site_fract_x
_atom_site_fract_y
_atom_site_fract_z
K1 K 0.000 0.000 0.000
Li1 Li 0.293 0.000 0.570
Li2 Li 0.782 0.500 0.549
Se1 Se 0.380 0.500 0.751

Entry 10:
# K2LiSe2 (PBE-GGA, relaxed)
# ρ (g cm⁻³): 2.20
# DOS at the Fermi energy (states/eV/atom): 0.5844
# Formation energy (no corrections) (eV per formula unit): -0.553
# Relative energy among the computed polymorphs (eV per atom): 0.726
# Magnetization (μB/cell): 0.0
# Raw total energy (eV per atom): -2.326
data_K2LiSe2
_space_group_name_H-M_alt 'P 4/m m m'
_space_group_IT_number 123
_space_group_name_Hall '-P 4 2'
_cell_length_a 3.514
_cell_length_b 3.514
_cell_length_c 14.844
_cell_angle_alpha 90.00
_cell_angle_beta 90.00
_cell_angle_gamma 90.00
loop_
_atom_site_label
_atom_site_type_symbol
_atom_site_fract_x
_atom_site_fract_y
_atom_site_fract_z
K1 K 0.000 0.000 0.138
Li1 Li 0.000 0.000 0.500
Se1 Se 0.000 0.000 0.339

Entry 11:
# K3LiSe2 (PBE-GGA, relaxed)
# ρ (g cm⁻³): 2.47
# DOS at the Fermi energy (states/eV/atom): 0.0000
# Formation energy (no corrections) (eV per formula unit): -6.631
# Magnetization (μB/cell): 0.0
# Raw total energy (eV per atom): -3.134
data_K3LiSe2
_space_group_name_H-M_alt 'I b a m'
_space_group_IT_number 72
_space_group_name_Hall '-I 2 2c'
_cell_length_a 7.910
_cell_length_b 14.310
_cell_length_c 6.697
_cell_angle_alpha 90.00
_cell_angle_beta 90.00
_cell_angle_gamma 90.00
loop_
_atom_site_label
_atom_site_type_symbol
_atom_site_fract_x
_atom_site_fract_y
_atom_site_fract_z
K1 K 0.000 0.000 0.250
K2 K 0.181 0.322 0.000
Li1 Li 0.000 0.500 0.250
Se1 Se 0.202 0.398 0.500

Entry 12:
# KLi2Se (PBE-GGA, relaxed)
# ρ (g cm⁻³): 2.25
# DOS at the Fermi energy (states/eV/atom): 0.1116
# Formation energy (no corrections) (eV per formula unit): -1.937
# Magnetization (μB/cell): 0.9
# Raw total energy (eV per atom): -2.587
data_KLi2Se
_space_group_name_H-M_alt 'P 4/m m m'
_space_group_IT_number 123
_space_group_name_Hall '-P 4 2'
_cell_length_a 4.590
_cell_length_b 4.590
_cell_length_c 4.626
_cell_angle_alpha 90.00
_cell_angle_beta 90.00
_cell_angle_gamma 90.00
loop_
_atom_site_label
_atom_site_type_symbol
_atom_site_fract_x
_atom_site_fract_y
_atom_site_fract_z
K1 K 0.000 0.000 0.000
Li1 Li 0.000 0.500 0.500
Se1 Se 0.500 0.500 0.000

Entry 13:
# KLi3Se (PBE-GGA, relaxed)
# ρ (g cm⁻³): 1.48
# DOS at the Fermi energy (states/eV/atom): 0.0004
# Formation energy (no corrections) (eV per formula unit): 2.543
# Relative energy among the computed polymorphs (eV per atom): 1.018
# Magnetization (μB/cell): 0.0
# Raw total energy (eV per atom): -1.556
data_KLi3Se
_space_group_name_H-M_alt 'P m -3 m'
_space_group_IT_number 221
_space_group_name_Hall '-P 4 2 3'
_cell_length_a 5.381
_cell_length_b 5.381
_cell_length_c 5.381
_cell_angle_alpha 90.00
_cell_angle_beta 90.00
_cell_angle_gamma 90.00
loop_
_atom_site_label
_atom_site_type_symbol
_atom_site_fract_x
_atom_site_fract_y
_atom_site_fract_z
K1 K 0.000 0.000 0.000
Li1 Li 0.000 0.000 0.500
Se1 Se 0.500 0.500 0.500

Entry 14:
# KLi2Se (PBE-GGA, relaxed)
# ρ (g cm⁻³): 1.78
# DOS at the Fermi energy (states/eV/atom): 0.1828
# Formation energy (no corrections) (eV per formula unit): -3.135
# Magnetization (μB/cell): 0.0
# Raw total energy (eV per atom): -2.886
data_KLi2Se
_space_group_name_H-M_alt 'R 3 m'
_space_group_IT_number 160
_space_group_name_Hall 'R 3 -2"'
_cell_length_a 4.2596
_cell_length_b 4.2596
_cell_length_c 23.5579
_cell_angle_alpha 90.00
_cell_angle_beta 90.00
_cell_angle_gamma 120.00
loop_
_atom_site_label
_atom_site_type_symbol
_atom_site_fract_x
_atom_site_fract_y
_atom_site_fract_z
K1 K 0.0000 0.0000 0.0000
Li1 Li 0.0000 0.0000 0.5277
Li2 Li 0.0000 0.0000 0.7966
Se1 Se 0.0000 0.0000 0.1611

Entry 15:
# KLiSe4 (PBE-GGA, relaxed)
# ρ (g cm⁻³): 4.07
# DOS at the Fermi energy (states/eV/atom): 0.1736
# Formation energy (no corrections) (eV per formula unit): -1.611
# Magnetization (μB/cell): 0.0
# Raw total energy (eV per atom): -3.093
data_KLiSe4
_space_group_name_H-M_alt 'F -4 3 m'
_space_group_IT_number 216
_space_group_name_Hall 'F -4 2 3'
_cell_length_a 8.389
_cell_length_b 8.389
_cell_length_c 8.389
_cell_angle_alpha 90.00
_cell_angle_beta 90.00
_cell_angle_gamma 90.00
loop_
_atom_site_label
_atom_site_type_symbol
_atom_site_fract_x
_atom_site_fract_y
_atom_site_fract_z
K1 K 0.000 0.000 0.000
Li1 Li 0.250 0.250 0.750
Se1 Se 0.125 0.125 0.375

Entry 16:
# KLi2Se (PBE-GGA, relaxed)
# ρ (g cm⁻³): 1.64
# DOS at the Fermi energy (states/eV/atom): 0.4216
# Formation energy (no corrections) (eV per formula unit): -2.660
# Magnetization (μB/cell): 0.5
# Raw total energy (eV per atom): -2.767
data_KLi2Se
_space_group_name_H-M_alt 'P 1 2/m 1'
_space_group_IT_number 10
_cell_length_a 5.498
_cell_length_b 4.138
_cell_length_c 6.352
_cell_angle_alpha 90.00
_cell_angle_beta 112.76
_cell_angle_gamma 90.00
loop_
_space_group_symop_operation_xyz
'x,y,z'
'-x,-y,-z'
'-x,y,-z'
'x,-y,z'
loop_
_atom_site_label
_atom_site_type_symbol
_atom_site_fract_x
_atom_site_fract_y
_atom_site_fract_z
K1 K 0.000 0.000 0.000
Li1 Li 0.397 0.500 0.669
Se1 Se 0.500 0.000 0.500

Entry 17:
# KLi2Se (PBE-GGA, relaxed)
# ρ (g cm⁻³): 2.23
# DOS at the Fermi energy (states/eV/atom): 0.4179
# Formation energy (no corrections) (eV per formula unit): -1.832
# Magnetization (μB/cell): 0.6
# Raw total energy (eV per atom): -2.560
data_KLi2Se
_space_group_name_H-M_alt 'I 4/m m m'
_space_group_IT_number 139
_space_group_name_Hall '-I 4 2'
_cell_length_a 4.669
_cell_length_b 4.669
_cell_length_c 9.011
_cell_angle_alpha 90.00
_cell_angle_beta 90.00
_cell_angle_gamma 90.00
loop_
_atom_site_label
_atom_site_type_symbol
_atom_site_fract_x
_atom_site_fract_y
_atom_site_fract_z
K1 K 0.000 0.000 0.000
Li1 Li 0.000 0.500 0.250
Se1 Se 0.000 0.000 0.500

Entry 18:
# KLiSiSe2 (PBE-GGA, relaxed)
# ρ (g cm⁻³): 2.05
# DOS at the Fermi energy (states/eV/atom): 0.3910
# Formation energy (no corrections) (eV per formula unit): 4.247
# Relative energy among the computed polymorphs (eV per atom): 0.813
# Magnetization (μB/cell): 0.0
# Raw total energy (eV per atom): -2.231
data_KLiSiSe2
_space_group_name_H-M_alt 'P 4/m m m'
_space_group_IT_number 123
_space_group_name_Hall '-P 4 2'
_cell_length_a 5.830
_cell_length_b 5.830
_cell_length_c 5.523
_cell_angle_alpha 90.00
_cell_angle_beta 90.00
_cell_angle_gamma 90.00
loop_
_atom_site_label
_atom_site_type_symbol
_atom_site_fract_x
_atom_site_fract_y
_atom_site_fract_z
K1 K 0.000 0.000 0.000
Li1 Li 0.500 0.500 0.500
Si1 Si 0.000 0.000 0.500
Se1 Se 0.000 0.500 0.000

Entry 19:
# KLiSiSe2 (PBE-GGA, relaxed)
# ρ (g cm⁻³): 3.42
# DOS at the Fermi energy (states/eV/atom): 0.3098
# Formation energy (no corrections) (eV per formula unit): 0.179
# Relative energy among the computed polymorphs (eV per atom): 0.000
# Magnetization (μB/cell): 0.0
# Raw total energy (eV per atom): -3.045
data_KLiSiSe2
_space_group_name_H-M_alt 'P 4/m m m'
_space_group_IT_number 123
_space_group_name_Hall '-P 4 2'
_cell_length_a 5.001
_cell_length_b 5.001
_cell_length_c 4.499
_cell_angle_alpha 90.00
_cell_angle_beta 90.00
_cell_angle_gamma 90.00
loop_
_atom_site_label
_atom_site_type_symbol
_atom_site_fract_x
_atom_site_fract_y
_atom_site_fract_z
K1 K 0.000 0.000 0.000
Li1 Li 0.000 0.000 0.500
Si1 Si 0.500 0.500 0.000
Se1 Se 0.000 0.500 0.500

Entry 20:
# K2LiSiSe4 (PBE-GGA, relaxed)
# ρ (g cm⁻³): 3.22
# DOS at the Fermi energy (states/eV/atom): 1.0445
# Formation energy (no corrections) (eV per formula unit): -6.872
# Magnetization (μB/cell): 2.0
# Raw total energy (eV per atom): -3.793
data_K2LiSiSe4
_space_group_name_H-M_alt 'I -4 2 m'
_space_group_IT_number 121
_space_group_name_Hall 'I -4 2'
_cell_length_a 7.977
_cell_length_b 7.977
_cell_length_c 6.958
_cell_angle_alpha 90.00
_cell_angle_beta 90.00
_cell_angle_gamma 90.00
loop_
_atom_site_label
_atom_site_type_symbol
_atom_site_fract_x
_atom_site_fract_y
_atom_site_fract_z
K1 K 0.000 0.500 0.000
Li1 Li 0.000 0.000 0.000
Si1 Si 0.000 0.000 0.500
Se1 Se 0.157 0.157 0.290